Version 1
The following is a PBE calculation of a geometry-optimized MoIr4Rh structure, from the Alexandria database.

Geometry as POSCAR:
```
MoIr4Rh
1.0
-0.5644 -0.7771 5.0164
0.3884 3.9200 3.2511
-4.1549 1.7460 2.4031
Ir Rh Mo
4 1 1
Direct
0.3748 0.3748 0.8755
0.8755 0.3748 0.3748
0.3748 0.8755 0.3748
0.3748 0.3748 0.3748
0.0000 0.0000 0.0000
0.7500 0.7500 0.7500
```

Calculated values
Space group   F-43m
ρ   17.056 g/cm³

=====

Version 2
The following is a PBE calculation of a geometry-optimized MoIr4Rh structure, from the Alexandria database.

Geometry as POSCAR:
```
MoIr4Rh
1.0
3.6740 0.0000 -1.2460
0.0000 3.8955 0.0000
0.0278 0.0000 6.1216
Mo Ir Rh
1 4 1
Direct
0.5000 0.5000 0.0000
0.1606 0.5000 0.3213
0.8394 0.5000 0.6787
0.3325 0.0000 0.6649
0.6675 0.0000 0.3351
0.0000 0.0000 0.0000
```

Calculated values
Space group   Cmmm
ρ   18.313 g/cm³

=====

Energy ordering: version 2 at the bottom, the next structure 0.507 eV/atom above.